# 1
The following is a PBE calculation of crystalline H2AuSN at its relaxed geometry, from the Alexandria database.

abc: 4.0347 4.0350 5.2366
angles: 94.95 94.86 94.89
Last column: nearest neighbours and their distance in Å.
Positions (direct):
H 0.0383 0.7486 0.6703  1 N 1.04
H 0.3236 0.4630 0.6701  1 N 1.04
Au 0.9638 0.3889 0.2149  1 N 2.11, 1 S 2.27
S 0.8165 0.2419 0.7899  1 N 1.78
N 0.0767 0.5017 0.6162  2 H 1.04

Computed properties:
The calculation puts the total energy at -22.71 eV/cell.

---

# 2
The following is a PBE calculation of crystalline H2AuSN at its relaxed geometry, from the Alexandria database.

abc: 2.7899 4.2365 6.2887
angles: 73.15 86.56 85.43
Last column: nearest neighbours and their distance in Å.
Positions (direct):
H 0.0752 0.7773 0.2729  1 N 1.04
H 0.4342 0.4476 0.4001  1 N 1.04
Au 0.6139 0.2408 0.9248  2 S 2.59-2.65, 1 H 2.78, 2 Au 2.79
S 0.0769 0.7022 0.6452  1 N 1.69
N 0.1052 0.5746 0.4131  2 H 1.04

Computed properties:
The calculation puts the total energy at -21.46 eV/cell.

---

# 3
The following is a PBE calculation of crystalline HAuS2N at its relaxed geometry, from the Alexandria database.

abc: 5.1667 5.1667 3.7635
angles: 90.00 90.00 90.00
Last column: nearest neighbours and their distance in Å.
Positions (direct):
H 0.5000 0.5000 0.5000  8 S 3.20
S 0.0000 0.5000 0.0000  2 Au 2.58
S 0.5000 0.0000 0.0000  2 Au 2.58
Au 0.0000 0.0000 0.0000  2 N 1.88
N 0.0000 0.0000 0.5000  2 Au 1.88

Computed properties:
The calculation puts the total energy at -14.12 eV/cell.

---

# 4
The following is a PBE calculation of crystalline H2AuSN at its relaxed geometry, from the Alexandria database.

abc: 3.5061 4.2443 5.2494
angles: 76.09 89.60 71.03
Last column: nearest neighbours and their distance in Å.
Positions (direct):
H 0.4444 0.6080 0.3155  2 Au 1.75
H 0.6367 0.9310 0.7007  1 N 1.03
Au 0.9435 0.6092 0.3211  2 H 1.75
S 0.0285 0.4063 0.9423  1 N 1.66
N 0.8989 0.7415 0.6819  1 H 1.03

Computed properties:
The calculation puts the total energy at -21.07 eV/cell.

---

> Number 4 is which compound?

H2AuSN

---

What did the first record say?
The following is a PBE calculation of crystalline H2AuSN at its relaxed geometry, from the Alexandria database.

abc: 4.0347 4.0350 5.2366
angles: 94.95 94.86 94.89
Last column: nearest neighbours and their distance in Å.
Positions (direct):
H 0.0383 0.7486 0.6703  1 N 1.04
H 0.3236 0.4630 0.6701  1 N 1.04
Au 0.9638 0.3889 0.2149  1 N 2.11, 1 S 2.27
S 0.8165 0.2419 0.7899  1 N 1.78
N 0.0767 0.5017 0.6162  2 H 1.04

Computed properties:
The calculation puts the total energy at -22.71 eV/cell.